<w>
Material: SrV2Os
Method: DFT, GGA-PBE
State: optimized geometry

extended XYZ file:
```
4
Lattice="1.467 -3.623 -2.378 -2.996 -2.621 -2.256 -0.110 0.069 -4.574" Properties=species:S:1:pos:R:3 pbc="T T T"
Sr 0.000 0.000 0.000
Os -0.820 -3.088 -4.604
V -0.410 -1.544 -2.302
V -1.230 -4.632 -6.906
```

**ρ**: 9308 kg/m³
**DOS at the Fermi energy**: 1.519 states/eV per atom

***

<x>
Material: SrV2Os
Method: DFT, GGA-PBE
State: optimized geometry

extended XYZ file:
```
8
Lattice="4.772 0.000 0.000 0.000 4.772 0.000 2.386 2.386 8.489" Properties=species:S:1:pos:R:3 pbc="T T T"
Sr 2.386 2.386 0.000
Sr 2.386 4.772 4.244
Os 0.000 0.000 0.000
Os 4.772 2.386 4.244
V 4.771 1.193 2.122
V 4.773 3.579 2.122
V 3.579 2.387 6.367
V 5.965 2.385 6.367
```

**ρ**: 6525 kg/m³
**DOS at the Fermi energy**: 1.487 states/eV per atom

***

Each structure's energy above the most stable one, in kJ/mol of atoms: <w> 0.0; <x> 13.7.

***

<w>
Material: SrVOs2
Method: DFT, GGA-PBE
State: optimized geometry

extended XYZ file:
```
4
Lattice="1.050 -3.909 2.182 -3.264 -2.320 2.260 -1.512 -4.023 -1.635" Properties=species:S:1:pos:R:3 pbc="T T T"
Sr -1.863 -5.126 1.404
Os -0.932 -2.563 0.702
Os -2.795 -7.689 2.106
V 0.000 0.000 0.000
```

**ρ**: 12535 kg/m³
**DOS at the Fermi energy**: 0.865 states/eV per atom

***

<x>
Material: SrVOs2
Method: DFT, GGA-PBE
State: optimized geometry

extended XYZ file:
```
8
Lattice="4.965 0.000 0.000 0.000 4.965 0.000 2.482 2.482 8.115" Properties=species:S:1:pos:R:3 pbc="T T T"
Sr 0.000 0.000 0.000
Sr 4.965 2.482 4.058
Os 2.481 1.241 2.029
Os 2.484 3.723 2.029
Os 3.723 4.966 6.087
Os 6.206 4.963 6.087
V 2.482 2.482 0.000
V 2.482 4.965 4.058
```

**ρ**: 8618 kg/m³
**DOS at the Fermi energy**: 1.068 states/eV per atom

***

Each structure's energy above the most stable one, in kJ/mol of atoms: <w> 7.0; <x> 0.0.

***

<w>
Material: Sr2VOs
Method: DFT, GGA-PBE
State: optimized geometry

extended XYZ file:
```
4
Lattice="-0.297 0.990 5.152 -4.298 -1.369 2.695 0.212 -3.956 3.452" Properties=species:S:1:pos:R:3 pbc="T T T"
Sr -1.096 -1.084 2.825
Sr -3.287 -3.251 8.474
Os -2.192 -2.167 5.649
V 0.000 0.000 0.000
```

**ρ**: 6740 kg/m³
**DOS at the Fermi energy**: 1.723 states/eV per atom

***

<x>
Material: Sr2VOs
Method: DFT, GGA-PBE
State: optimized geometry

extended XYZ file:
```
8
Lattice="11.469 0.000 0.000 0.000 11.469 0.000 5.734 5.734 2.321" Properties=species:S:1:pos:R:3 pbc="T T T"
Sr 10.612 2.867 0.580
Sr 12.326 8.602 0.580
Sr 8.602 6.591 1.741
Sr 14.336 4.878 1.741
Os 0.000 0.000 0.000
Os 11.469 5.734 1.161
V 5.734 5.734 0.000
V 5.734 11.469 1.161
```

**ρ**: 4530 kg/m³
**DOS at the Fermi energy**: 1.095 states/eV per atom

***

Each structure's energy above the most stable one, in kJ/mol of atoms: <w> 31.1; <x> 0.0.